Co3SbCl (PBE-GGA, optimized geometry); N(E_F) = 8.243 states/eV/cell; total magnetization = 1.2 μB per formula unit; raw formation energy = 356 kJ/mol of formula units; SG = Pm-3m, No. 221
1.0
4.220 0.000 0.000
0.000 4.220 0.000
0.000 0.000 4.220
Sb Co Cl
1 3 1
Cartesian
2.110 2.110 2.110
0.000 2.110 0.000
0.000 0.000 2.110
2.110 0.000 0.000
0.000 0.000 0.000

CoSbCl (PBE-GGA, optimized geometry); N(E_F) = 3.458 states/eV/cell; total magnetization = 1.3 μB per formula unit; raw formation energy = 18 kJ/mol of formula units; SG = Fmm2, No. 42
1.0
7.230 0.016 -0.012
6.261 3.093 0.014
0.969 -0.858 2.955
Sb Co Cl
1 1 1
Cartesian
4.600 0.292 2.099
9.233 1.760 1.006
1.595 -0.660 2.808

CoSb2Cl (PBE-GGA, optimized geometry); N(E_F) = 2.620 states/eV/cell; total magnetization = 1.6 μB per formula unit; raw formation energy = 155 kJ/mol of formula units; SG = Pmmm, No. 47
1.0
3.205 0.000 0.000
0.000 5.960 0.000
0.000 0.000 4.644
Sb Co Cl
2 1 1
Cartesian
0.000 0.000 0.000
1.602 2.980 0.000
0.000 2.980 2.322
1.602 0.000 2.322

CoSbCl (PBE-GGA, optimized geometry); N(E_F) = 3.855 states/eV/cell; total magnetization = 1.2 μB per formula unit; raw formation energy = 28 kJ/mol of formula units; SG = I4mm, No. 107
1.0
6.866 0.197 0.000
5.344 4.316 0.000
-6.105 -2.257 2.195
Sb Co Cl
1 1 1
Cartesian
3.521 1.302 0.000
8.089 2.990 0.000
0.600 0.222 0.000

CoSb2Cl (PBE-GGA, optimized geometry); N(E_F) = 2.603 states/eV/cell; total magnetization = 1.8 μB per formula unit; raw formation energy = 222 kJ/mol of formula units; SG = P4/mmm, No. 123
1.0
5.213 0.000 0.000
0.000 4.205 0.000
0.000 0.000 4.205
Sb Co Cl
2 1 1
Cartesian
0.000 0.000 0.000
0.000 2.103 2.103
2.607 0.000 2.103
2.607 2.103 0.000

Co2SbCl (PBE-GGA, optimized geometry); N(E_F) = 5.871 states/eV/cell; total magnetization = 2.4 μB per formula unit; raw formation energy = 59 kJ/mol of formula units; SG = C2/m, No. 12
1.0
-0.516 -1.920 4.053
-2.785 -2.810 2.173
1.553 -6.829 1.358
Sb Co Cl
1 2 1
Cartesian
-0.437 -2.890 1.896
-0.042 -0.811 0.434
-0.832 -4.969 3.358
-1.311 -8.669 5.688

Co2SbCl (PBE-GGA, optimized geometry); N(E_F) = 4.451 states/eV/cell; total magnetization = 1.2 μB per formula unit; raw formation energy = 60 kJ/mol of formula units; SG = Pmmm, No. 47
1.0
3.071 0.000 0.000
0.000 3.415 -0.006
0.000 0.013 6.395
Sb Co Cl
1 2 1
Cartesian
1.535 0.857 1.597
0.000 2.563 0.322
0.000 2.567 2.867
1.535 2.571 4.792

CoSb2Cl (PBE-GGA, optimized geometry); N(E_F) = 0.002 states/eV/cell; total magnetization = 0.0 μB per formula unit; raw formation energy = 12 kJ/mol of formula units; SG = I-42d, No. 122
1.0
6.158 0.000 0.000
0.000 6.158 0.000
3.079 3.079 6.050
Sb Co Cl
4 2 2
Cartesian
5.249 1.539 1.513
0.909 4.618 1.513
4.618 3.988 4.538
7.697 8.328 4.538
0.000 0.000 0.000
6.158 3.079 3.025
3.079 3.079 0.000
3.079 6.158 3.025

Co2SbCl (PBE-GGA, optimized geometry); N(E_F) = 5.151 states/eV/cell; total magnetization = 3.6 μB per formula unit; raw formation energy = 31 kJ/mol of formula units; SG = P4mm, No. 99
1.0
-0.315 1.535 2.827
-1.383 -2.629 1.274
6.726 -2.514 2.115
Sb Co Cl
1 2 1
Cartesian
2.657 -0.993 0.836
0.350 -0.131 0.110
0.390 -1.010 2.440
4.993 -2.730 3.887

CoSb2Cl (PBE-GGA, optimized geometry); N(E_F) = 2.433 states/eV/cell; total magnetization = 0.0 μB per formula unit; raw formation energy = 149 kJ/mol of formula units; SG = Fm-3m, No. 225
1.0
0.000 3.392 3.392
3.392 0.000 3.392
3.392 3.392 0.000
Sb Co Cl
2 1 1
Cartesian
1.696 1.696 1.696
5.087 5.087 5.087
3.392 3.392 3.392
0.000 0.000 0.000

CoSb2Cl (PBE-GGA, optimized geometry); N(E_F) = 5.719 states/eV/cell; total magnetization = 1.7 μB per formula unit; raw formation energy = 69 kJ/mol of formula units; SG = Cmm2, No. 35
1.0
3.311 -0.064 0.000
-1.323 3.036 0.000
0.000 0.000 9.255
Sb Co Cl
2 1 1
Cartesian
0.000 0.000 8.722
0.994 1.486 2.166
0.994 1.486 6.861
0.000 0.000 5.389

CoSb2Cl (PBE-GGA, optimized geometry); N(E_F) = 1.850 states/eV/cell; total magnetization = 0.0 μB per formula unit; raw formation energy = -86 kJ/mol of formula units; SG = R-3m, No. 166
1.0
-2.388 2.613 -1.686
-3.389 -1.176 -1.583
-1.588 0.631 7.778
Sb Co Cl
2 1 1
Cartesian
-5.157 1.306 -2.070
-4.302 1.165 1.055
-1.841 0.517 1.127
-5.523 1.552 3.382